(1)
A geometry-optimized LaEu2Cd structure, computed with PBE.

DFT formation energy = -0.08 eV per atom
Energy above the lowest structure with this stoichiometry = 0.042 eV per atom
Space-group type = No. 123

POSCAR file:
```
LaEu2Cd
1.0
-4.880 0.977 -1.426
-1.058 -5.000 0.196
-1.340 0.477 4.913
Eu Cd La
2 1 1
direct
0.000 0.000 0.500
0.000 0.500 0.000
0.500 0.000 0.000
0.500 0.500 0.500
```

=====

(2)
A geometry-optimized SrYZrPd2 structure, computed with PBE.

DFT formation energy = 1.05 eV per atom
Space-group type = No. 123

POSCAR file:
```
SrYZrPd2
1.0
-1.964 -4.540 0.951
0.793 -1.437 -5.222
4.581 -1.735 1.173
Y Sr Zr Pd
1 1 1 2
direct
0.000 0.500 0.000
0.000 0.000 0.000
0.500 0.500 0.500
0.000 0.000 0.500
0.500 0.000 0.000
```

=====

(3)
A geometry-optimized LaSi2Ru structure, computed with PBE.

Energy relative to the elements, uncorrected = -0.33 eV/atom
Space-group type = No. 10

POSCAR file:
```
LaSi2Ru
1.0
-3.406 0.473 -2.427
1.430 -1.624 -2.323
-1.909 -5.289 1.649
La Ru Si
1 1 2
direct
0.500 0.250 0.250
0.500 0.750 0.750
0.000 0.841 0.946
0.000 0.659 0.554
```

=====

(4)
A geometry-optimized CrFeGe2 structure, computed with PBE.

DFT formation energy = -0.04 eV per atom
Energy above the lowest structure with this stoichiometry = 0.000 eV per atom
Space-group type = No. 4

POSCAR file:
```
CrFeGe2
1.0
-3.812 -2.419 -1.251
2.749 -3.344 -1.912
0.084 -2.276 4.148
Cr Fe Ge
2 2 4
direct
0.636 0.627 0.894
0.136 0.373 0.106
0.364 0.861 0.383
0.864 0.139 0.617
0.343 0.340 0.587
0.843 0.660 0.413
0.657 0.151 0.097
0.157 0.849 0.903
```

=====

| no. | total DFT energy (no corrections) (eV per atom) |
| --- | --- |
| 1 | -6.674 |
| 2 | -4.369 |
| 3 | -6.592 |
| 4 | -6.869 |